The following is a DFT calculation (PBE) of a geometry-optimized CeGa3I6 structure.

Its final energy is -0.2317 Ry per atom.

The structure belongs to space group P2_1/c (No. 14); the cell edges are 7.919, 8.777 and 14.198 Å and the angles 90.00°, 122.51° and 90.00°. Symmetry generates all atoms from Ce at (0.000, 0.000, 0.000), Ga at (0.334, 0.144, 0.758), Ga at (0.500, 0.000, 0.500), I at (0.096, 0.055, 0.244), I at (0.245, 0.693, 0.078) and I at (0.394, 0.180, 0.074).



The following is a DFT calculation (PBE) of a geometry-optimized HfHgSe structure.

Its final energy is -0.3876 Ry per atom.

The structure belongs to space group C2/m (No. 12); the cell edges are 5.071, 5.067 and 11.210 Å and the angles 90.00°, 90.32° and 90.00°. Symmetry generates all atoms from Hf at (0.241, 0.000, 0.084), Hg at (0.248, 0.000, 0.397) and Se at (0.243, 0.500, 0.172).



The following is a DFT calculation (PBE) of a geometry-optimized Tm8Cu2Au structure.

Its relative energy among the computed polymorphs is 0.120 eV/atom. The energy relative to the elements comes out at -125 meV/atom.

The structure belongs to space group Cm (No. 8); the cell edges are 8.337, 13.082 and 5.568 Å and the angles 90.00°, 108.48° and 90.00°. Symmetry generates all atoms from Tm at (0.000, 0.000, 0.000), Tm at (0.086, 0.373, 0.789), Tm at (0.159, 0.127, 0.579), Tm at (0.251, 0.500, 0.380), Tm at (0.373, 0.220, 0.188), Cu at (0.376, 0.304, 0.693) and Au at (0.375, 0.000, 0.311).



The following is a DFT calculation (PBE) of a geometry-optimized YCuGe structure.

The energy relative to the elements comes out at -445 meV/atom.

The structure belongs to space group Cmcm (No. 63); the cell edges are 4.029, 9.895 and 5.728 Å and the angles 90.00°, 90.00° and 90.00°. Symmetry generates all atoms from Y at (0.000, 0.198, 0.250), Cu at (0.000, 0.094, 0.750) and Ge at (0.000, 0.500, 0.000).



The following is a DFT calculation (PBE) of a geometry-optimized SrGa2GeO6 structure.

Its final energy is -0.4586 Ry per atom.

The structure belongs to space group C2/c (No. 15); the cell edges are 11.301, 9.383 and 6.445 Å and the angles 90.00°, 119.69° and 90.00°. Symmetry generates all atoms from Sr at (0.000, 0.194, 0.250), Ga at (0.203, 0.442, 0.154), Ge at (0.000, 0.185, 0.750), O at (0.105, 0.081, 0.678), O at (0.105, 0.274, 0.018) and O at (0.168, 0.432, 0.410).



The following is a DFT calculation (PBE) of a geometry-optimized Pm2Sc3Ge2 structure.

The energy relative to the elements comes out at -576 meV/atom.

The structure belongs to space group C2/m (No. 12); the cell edges are 11.501, 4.090 and 8.075 Å and the angles 90.00°, 114.20° and 90.00°. Symmetry generates all atoms from Pm at (0.148, 0.000, 0.303), Sc at (0.000, 0.500, 0.500), Sc at (0.123, 0.500, 0.942) and Ge at (0.156, 0.000, 0.723).



The following is a DFT calculation (PBE) of a geometry-optimized Ac3PaN4 structure.

Its relative energy among the computed polymorphs is 0.000 eV/atom.

The structure belongs to space group I4/mmm (No. 139); the cell edges are 5.361, 5.361 and 10.790 Å and the angles 90.00°, 90.00° and 90.00°. Symmetry generates all atoms from Ac at (0.000, 0.000, 0.000), Ac at (0.000, 0.500, 0.250), Pa at (0.000, 0.000, 0.500), N at (0.000, 0.000, 0.295) and N at (0.000, 0.500, 0.000).



The following is a DFT calculation (PBE) of a geometry-optimized PuScMnRh structure.

The energy relative to the elements comes out at -321 meV/atom.

The structure belongs to space group F-43m (No. 216); the cell edges are 6.627, 6.627 and 6.627 Å and the angles 90.00°, 90.00° and 90.00°. Symmetry generates all atoms from Pu at (0.000, 0.000, 0.000), Sc at (0.000, 0.000, 0.500), Mn at (0.250, 0.250, 0.750) and Rh at (0.250, 0.250, 0.250).



In order of appearance, volume = 832.3, 288.0, 576.0, 228.4, 593.7, 346.5, 310.1, 291.0 Å³/cell.